1.
# Si3CSe PBE relaxed
data_Si3CSe
_symmetry_space_group_name_H-M 'P m -3 m'
_symmetry_Int_Tables_number 221
_symmetry_space_group_name_Hall '-P 4 2 3'
_cell_length_a 4.1917
_cell_length_b 4.1917
_cell_length_c 4.1917
_cell_angle_alpha 90.00
_cell_angle_beta 90.00
_cell_angle_gamma 90.00
loop_
_atom_site_label
_atom_site_type_symbol
_atom_site_fract_x
_atom_site_fract_y
_atom_site_fract_z
Si1 Si 0.0000 0.0000 0.5000
C1 C 0.0000 0.0000 0.0000
Se1 Se 0.5000 0.5000 0.5000
# Formation energy (no corrections) in kJ per mole of atoms: 95.6
# Final energy in eV/atom: -4.80
# V in Å³ per atom: 14.73



2.
# Si2CSe PBE relaxed
data_Si2CSe
_symmetry_space_group_name_H-M 'I -4 2 d'
_symmetry_Int_Tables_number 122
_symmetry_space_group_name_Hall 'I -4 2bw'
_cell_length_a 4.7960
_cell_length_b 4.7960
_cell_length_c 10.9364
_cell_angle_alpha 90.00
_cell_angle_beta 90.00
_cell_angle_gamma 90.00
loop_
_atom_site_label
_atom_site_type_symbol
_atom_site_fract_x
_atom_site_fract_y
_atom_site_fract_z
Si1 Si 0.1329 0.2500 0.1250
C1 C 0.0000 0.0000 0.0000
Se1 Se 0.0000 0.0000 0.5000
# Formation energy (no corrections) in kJ per mole of atoms: 48.5
# Final energy in eV/atom: -5.39
# V in Å³ per atom: 15.72



3.
# SiC3Se PBE relaxed
data_SiC3Se
_symmetry_space_group_name_H-M 'P m -3 m'
_symmetry_Int_Tables_number 221
_symmetry_space_group_name_Hall '-P 4 2 3'
_cell_length_a 3.8823
_cell_length_b 3.8823
_cell_length_c 3.8823
_cell_angle_alpha 90.00
_cell_angle_beta 90.00
_cell_angle_gamma 90.00
loop_
_atom_site_label
_atom_site_type_symbol
_atom_site_fract_x
_atom_site_fract_y
_atom_site_fract_z
Si1 Si 0.0000 0.0000 0.0000
C1 C 0.0000 0.5000 0.5000
Se1 Se 0.5000 0.5000 0.5000
# Formation energy (no corrections) in kJ per mole of atoms: 283.3
# Final energy in eV/atom: -4.38
# V in Å³ per atom: 11.70



4.
# Si2CSe PBE relaxed
data_Si2CSe
_symmetry_space_group_name_H-M 'F m -3 m'
_symmetry_Int_Tables_number 225
_symmetry_space_group_name_Hall '-F 4 2 3'
_cell_length_a 6.0683
_cell_length_b 6.0683
_cell_length_c 6.0683
_cell_angle_alpha 90.00
_cell_angle_beta 90.00
_cell_angle_gamma 90.00
loop_
_atom_site_label
_atom_site_type_symbol
_atom_site_fract_x
_atom_site_fract_y
_atom_site_fract_z
Si1 Si 0.2500 0.2500 0.2500
C1 C 0.0000 0.0000 0.0000
Se1 Se 0.0000 0.0000 0.5000
# Formation energy (no corrections) in kJ per mole of atoms: 149.0
# Final energy in eV/atom: -4.34
# V in Å³ per atom: 13.97



5.
# SiCSe2 PBE relaxed
data_SiCSe2
_symmetry_space_group_name_H-M 'R -3 m'
_symmetry_Int_Tables_number 166
_symmetry_space_group_name_Hall '-R 3 2"'
_cell_length_a 3.1383
_cell_length_b 3.1383
_cell_length_c 24.0904
_cell_angle_alpha 90.00
_cell_angle_beta 90.00
_cell_angle_gamma 120.00
loop_
_atom_site_label
_atom_site_type_symbol
_atom_site_fract_x
_atom_site_fract_y
_atom_site_fract_z
Si1 Si 0.0000 0.0000 0.0000
C1 C 0.0000 0.0000 0.5000
Se1 Se 0.0000 0.0000 0.1086
# Formation energy (no corrections) in kJ per mole of atoms: 127.1
# Final energy in eV/atom: -4.09
# V in Å³ per atom: 17.12



6.
# SiCSe2 PBE relaxed
data_SiCSe2
_symmetry_space_group_name_H-M 'F m -3 m'
_symmetry_Int_Tables_number 225
_symmetry_space_group_name_Hall '-F 4 2 3'
_cell_length_a 6.3017
_cell_length_b 6.3017
_cell_length_c 6.3017
_cell_angle_alpha 90.00
_cell_angle_beta 90.00
_cell_angle_gamma 90.00
loop_
_atom_site_label
_atom_site_type_symbol
_atom_site_fract_x
_atom_site_fract_y
_atom_site_fract_z
Si1 Si 0.0000 0.0000 0.0000
C1 C 0.0000 0.0000 0.5000
Se1 Se 0.2500 0.2500 0.2500
# Formation energy (no corrections) in kJ per mole of atoms: 157.3
# Final energy in eV/atom: -3.77
# V in Å³ per atom: 15.64



7.
# SiC3Se PBE relaxed
data_SiC3Se
_symmetry_space_group_name_H-M 'P m -3 m'
_symmetry_Int_Tables_number 221
_symmetry_space_group_name_Hall '-P 4 2 3'
_cell_length_a 3.8373
_cell_length_b 3.8373
_cell_length_c 3.8373
_cell_angle_alpha 90.00
_cell_angle_beta 90.00
_cell_angle_gamma 90.00
loop_
_atom_site_label
_atom_site_type_symbol
_atom_site_fract_x
_atom_site_fract_y
_atom_site_fract_z
Si1 Si 0.0000 0.0000 0.0000
C1 C 0.0000 0.0000 0.5000
Se1 Se 0.5000 0.5000 0.5000
# Formation energy (no corrections) in kJ per mole of atoms: 208.5
# Final energy in eV/atom: -5.15
# V in Å³ per atom: 11.30



8.
# SiCSe2 PBE relaxed
data_SiCSe2
_symmetry_space_group_name_H-M 'I -4 2 d'
_symmetry_Int_Tables_number 122
_symmetry_space_group_name_Hall 'I -4 2bw'
_cell_length_a 6.1620
_cell_length_b 6.1620
_cell_length_c 7.8753
_cell_angle_alpha 90.00
_cell_angle_beta 90.00
_cell_angle_gamma 90.00
loop_
_atom_site_label
_atom_site_type_symbol
_atom_site_fract_x
_atom_site_fract_y
_atom_site_fract_z
Si1 Si 0.0000 0.0000 0.0000
C1 C 0.0000 0.0000 0.5000
Se1 Se 0.1992 0.7500 0.6250
# Formation energy (no corrections) in kJ per mole of atoms: 111.6
# Final energy in eV/atom: -4.25
# V in Å³ per atom: 18.69



9.
# Tb6SiC2Se3 PBE relaxed
data_Tb6SiC2Se3
_symmetry_space_group_name_H-M 'C 1 2/m 1'
_symmetry_Int_Tables_number 12
_symmetry_space_group_name_Hall '-C 2y'
_cell_length_a 17.4823
_cell_length_b 3.8645
_cell_length_c 8.1355
_cell_angle_alpha 90.00
_cell_angle_beta 105.14
_cell_angle_gamma 90.00
loop_
_atom_site_label
_atom_site_type_symbol
_atom_site_fract_x
_atom_site_fract_y
_atom_site_fract_z
Tb1 Tb 0.0171 0.0000 0.2566
Tb2 Tb 0.1688 0.5000 0.1221
Tb3 Tb 0.1787 0.5000 0.5587
Si1 Si 0.0000 0.5000 0.0000
C1 C 0.1715 0.0000 0.3412
Se1 Se 0.0000 0.5000 0.5000
Se2 Se 0.1630 0.0000 0.8309
# Formation energy (no corrections) in kJ per mole of atoms: -112.4
# Final energy in eV/atom: -6.34
# V in Å³ per atom: 22.11



10.
# Th8Si3CSe4 PBE relaxed
data_Th8Si3CSe4
_symmetry_space_group_name_H-M 'R -3 m'
_symmetry_Int_Tables_number 166
_symmetry_space_group_name_Hall '-R 3 2"'
_cell_length_a 8.3436
_cell_length_b 8.3436
_cell_length_c 20.8670
_cell_angle_alpha 90.00
_cell_angle_beta 90.00
_cell_angle_gamma 120.00
loop_
_atom_site_label
_atom_site_type_symbol
_atom_site_fract_x
_atom_site_fract_y
_atom_site_fract_z
Th1 Th 0.0000 0.0000 0.2448
Th2 Th 0.0240 0.5120 0.2393
Si1 Si 0.0000 0.5000 0.5000
C1 C 0.0000 0.0000 0.5000
Se1 Se 0.0000 0.0000 0.0000
Se2 Se 0.0000 0.5000 0.0000
# Formation energy (no corrections) in kJ per mole of atoms: -108.4
# Final energy in eV/atom: -7.30
# V in Å³ per atom: 26.21



11.
# Th4Si2CSe PBE relaxed
data_Th4Si2CSe
_symmetry_space_group_name_H-M 'I -4 2 m'
_symmetry_Int_Tables_number 121
_symmetry_space_group_name_Hall 'I -4 2'
_cell_length_a 7.4275
_cell_length_b 7.4275
_cell_length_c 7.5087
_cell_angle_alpha 90.00
_cell_angle_beta 90.00
_cell_angle_gamma 90.00
loop_
_atom_site_label
_atom_site_type_symbol
_atom_site_fract_x
_atom_site_fract_y
_atom_site_fract_z
Th1 Th 0.2256 0.2256 0.0750
Si1 Si 0.0000 0.5000 0.2500
C1 C 0.0000 0.0000 0.0000
Se1 Se 0.0000 0.0000 0.5000
# Formation energy (no corrections) in kJ per mole of atoms: -48.8
# Final energy in eV/atom: -7.16
# V in Å³ per atom: 25.89



12.
# Tl2SiCSe PBE relaxed
data_Tl2SiCSe
_symmetry_space_group_name_H-M 'P 4/m m m'
_symmetry_Int_Tables_number 123
_symmetry_space_group_name_Hall '-P 4 2'
_cell_length_a 6.2710
_cell_length_b 6.2710
_cell_length_c 4.8229
_cell_angle_alpha 90.00
_cell_angle_beta 90.00
_cell_angle_gamma 90.00
loop_
_atom_site_label
_atom_site_type_symbol
_atom_site_fract_x
_atom_site_fract_y
_atom_site_fract_z
Tl1 Tl 0.0000 0.5000 0.0000
Si1 Si 0.0000 0.0000 0.5000
C1 C 0.5000 0.5000 0.5000
Se1 Se 0.0000 0.0000 0.0000
# Formation energy (no corrections) in kJ per mole of atoms: 159.6
# Final energy in eV/atom: -2.92
# V in Å³ per atom: 37.93